# PBE Pr2TlAg2, optimized geometry
# * crystal system: monoclinic
# * total energy: -3.7665 eV/atom
data_Pr2TlAg2
_chemical_formula_sum 'Pr8 Tl4 Ag8'
_cell_length_a 11.107
_cell_length_b 4.825
_cell_length_c 10.284
_cell_angle_alpha 90.00
_cell_angle_beta 106.76
_cell_angle_gamma 90.00
_space_group_name_H-M_alt 'C 1 2/m 1'
_space_group_IT_number 12
loop_
_space_group_symop_operation_xyz
'x,y,z'
'-x,-y,-z'
'-x,y,-z'
'x,-y,z'
'x+1/2,y+1/2,z'
'-x+1/2,-y+1/2,-z'
'-x+1/2,y+1/2,-z'
'x+1/2,-y+1/2,z'
loop_
_atom_site_label
_atom_site_type_symbol
_atom_site_fract_x
_atom_site_fract_y
_atom_site_fract_z
_atom_site_occupancy
Pr1 Pr 0.092 0.000 0.382 1
Pr2 Pr 0.166 0.000 0.058 1
Tl1 Tl 0.232 0.000 0.731 1
Ag1 Ag 0.017 0.500 0.859 1
Ag2 Ag 0.108 0.500 0.612 1